(w)
# Co2ReCl, relaxed, DFT GGA-PBE
data_Co2ReCl
_symmetry_space_group_name_H-M 'R -3 m'
_symmetry_Int_Tables_number 166
_symmetry_space_group_name_Hall '-R 3 2"'
_cell_length_a 2.8121
_cell_length_b 2.8121
_cell_length_c 23.4069
_cell_angle_alpha 90.00
_cell_angle_beta 90.00
_cell_angle_gamma 120.00
loop_
_atom_site_label
_atom_site_type_symbol
_atom_site_fract_x
_atom_site_fract_y
_atom_site_fract_z
Co1 Co 0.0000 0.0000 0.2478
Re1 Re 0.0000 0.0000 0.0000
Cl1 Cl 0.0000 0.0000 0.5000
# - Fermi-level density of states (states/eV/atom) = 1.219

---

(x)
# Co2ReCl, relaxed, DFT GGA-PBE
data_Co2ReCl
_symmetry_space_group_name_H-M 'C m m m'
_symmetry_Int_Tables_number 65
_symmetry_space_group_name_Hall '-C 2 2'
_cell_length_a 4.995
_cell_length_b 7.938
_cell_length_c 2.717
_cell_angle_alpha 90.00
_cell_angle_beta 90.00
_cell_angle_gamma 90.00
loop_
_atom_site_label
_atom_site_type_symbol
_atom_site_fract_x
_atom_site_fract_y
_atom_site_fract_z
Co1 Co 0.250 0.250 0.000
Re1 Re 0.000 0.000 0.500
Cl1 Cl 0.000 0.500 0.500
# - Fermi-level density of states (states/eV/atom) = 1.514

---

(y)
# Co2ReCl, relaxed, DFT GGA-PBE
data_Co2ReCl
_symmetry_space_group_name_H-M 'C 1 m 1'
_symmetry_Int_Tables_number 8
_symmetry_space_group_name_Hall 'C -2y'
_cell_length_a 7.907
_cell_length_b 2.768
_cell_length_c 6.315
_cell_angle_alpha 90.00
_cell_angle_beta 92.44
_cell_angle_gamma 90.00
loop_
_atom_site_label
_atom_site_type_symbol
_atom_site_fract_x
_atom_site_fract_y
_atom_site_fract_z
Co1 Co 0.000 0.000 0.000
Co2 Co 0.219 0.500 0.171
Re1 Re 0.269 0.000 0.853
Cl1 Cl 0.226 0.500 0.530
# - Fermi-level density of states (states/eV/atom) = 1.021

---

(w) (175 meV/atom below the next structure)

---

(w)
# Co2ReCl, relaxed, DFT GGA-PBE
data_Co2ReCl
_symmetry_space_group_name_H-M 'P 4/m m m'
_symmetry_Int_Tables_number 123
_symmetry_space_group_name_Hall '-P 4 2'
_cell_length_a 2.763
_cell_length_b 2.763
_cell_length_c 6.966
_cell_angle_alpha 90.00
_cell_angle_beta 90.00
_cell_angle_gamma 90.00
loop_
_atom_site_label
_atom_site_type_symbol
_atom_site_fract_x
_atom_site_fract_y
_atom_site_fract_z
Co1 Co 0.000 0.000 0.243
Re1 Re 0.500 0.500 0.000
Cl1 Cl 0.500 0.500 0.500
# - Fermi-level density of states (states/eV/atom) = 1.164

---

(x)
# Co2ReCl, relaxed, DFT GGA-PBE
data_Co2ReCl
_symmetry_space_group_name_H-M 'C m m m'
_symmetry_Int_Tables_number 65
_symmetry_space_group_name_Hall '-C 2 2'
_cell_length_a 2.930
_cell_length_b 4.743
_cell_length_c 7.989
_cell_angle_alpha 90.00
_cell_angle_beta 90.00
_cell_angle_gamma 90.00
loop_
_atom_site_label
_atom_site_type_symbol
_atom_site_fract_x
_atom_site_fract_y
_atom_site_fract_z
Co1 Co 0.000 0.000 0.249
Re1 Re 0.000 0.500 0.500
Cl1 Cl 0.000 0.500 0.000
# - Fermi-level density of states (states/eV/atom) = 1.495

---

(y)
# Co2ReCl, relaxed, DFT GGA-PBE
data_Co2ReCl
_symmetry_space_group_name_H-M 'F -4 3 m'
_symmetry_Int_Tables_number 216
_symmetry_space_group_name_Hall 'F -4 2 3'
_cell_length_a 5.884
_cell_length_b 5.884
_cell_length_c 5.884
_cell_angle_alpha 90.00
_cell_angle_beta 90.00
_cell_angle_gamma 90.00
loop_
_atom_site_label
_atom_site_type_symbol
_atom_site_fract_x
_atom_site_fract_y
_atom_site_fract_z
Co1 Co 0.000 0.000 0.000
Co2 Co 0.250 0.250 0.250
Re1 Re 0.000 0.000 0.500
Cl1 Cl 0.250 0.250 0.750
# - Fermi-level density of states (states/eV/atom) = 1.024

---

(w) (120 meV/atom below the next structure)

---

(w)
# Co2ReCl, relaxed, DFT GGA-PBE
data_Co2ReCl
_symmetry_space_group_name_H-M 'C m m 2'
_symmetry_Int_Tables_number 35
_symmetry_space_group_name_Hall 'C 2 -2'
_cell_length_a 2.824
_cell_length_b 4.731
_cell_length_c 8.346
_cell_angle_alpha 90.00
_cell_angle_beta 90.00
_cell_angle_gamma 90.00
loop_
_atom_site_label
_atom_site_type_symbol
_atom_site_fract_x
_atom_site_fract_y
_atom_site_fract_z
Co1 Co 0.000 0.000 0.000
Co2 Co 0.000 0.500 0.232
Re1 Re 0.000 0.500 0.754
Cl1 Cl 0.000 0.000 0.467
# - Fermi-level density of states (states/eV/atom) = 1.508

---

(x)
# Co2ReCl, relaxed, DFT GGA-PBE
data_Co2ReCl
_symmetry_space_group_name_H-M 'R 3 m'
_symmetry_Int_Tables_number 160
_symmetry_space_group_name_Hall 'R 3 -2"'
_cell_length_a 2.8003
_cell_length_b 2.8003
_cell_length_c 23.7906
_cell_angle_alpha 90.00
_cell_angle_beta 90.00
_cell_angle_gamma 120.00
loop_
_atom_site_label
_atom_site_type_symbol
_atom_site_fract_x
_atom_site_fract_y
_atom_site_fract_z
Co1 Co 0.0000 0.0000 0.0000
Co2 Co 0.0000 0.0000 0.2545
Re1 Re 0.0000 0.0000 0.7502
Cl1 Cl 0.0000 0.0000 0.5056
# - Fermi-level density of states (states/eV/atom) = 1.411

---

(x) (167 meV/atom below the next structure)

---

(w)
# CoReCl3, relaxed, DFT GGA-PBE
data_CoReCl3
_symmetry_space_group_name_H-M 'P m -3 m'
_symmetry_Int_Tables_number 221
_symmetry_space_group_name_Hall '-P 4 2 3'
_cell_length_a 4.845
_cell_length_b 4.845
_cell_length_c 4.845
_cell_angle_alpha 90.00
_cell_angle_beta 90.00
_cell_angle_gamma 90.00
loop_
_atom_site_label
_atom_site_type_symbol
_atom_site_fract_x
_atom_site_fract_y
_atom_site_fract_z
Co1 Co 0.000 0.000 0.000
Re1 Re 0.500 0.500 0.500
Cl1 Cl 0.000 0.500 0.500
# - Fermi-level density of states (states/eV/atom) = 3.340

---

(x)
# CoReCl3, relaxed, DFT GGA-PBE
data_CoReCl3
_symmetry_space_group_name_H-M 'P m -3 m'
_symmetry_Int_Tables_number 221
_symmetry_space_group_name_Hall '-P 4 2 3'
_cell_length_a 4.769
_cell_length_b 4.769
_cell_length_c 4.769
_cell_angle_alpha 90.00
_cell_angle_beta 90.00
_cell_angle_gamma 90.00
loop_
_atom_site_label
_atom_site_type_symbol
_atom_site_fract_x
_atom_site_fract_y
_atom_site_fract_z
Co1 Co 0.000 0.000 0.000
Re1 Re 0.500 0.500 0.500
Cl1 Cl 0.000 0.000 0.500
# - Fermi-level density of states (states/eV/atom) = 1.469

---

(x) (19 meV/atom below the next structure)

---

(w)
# CoReSCl2, relaxed, DFT GGA-PBE
data_CoReSCl2
_symmetry_space_group_name_H-M 'P 4/m m m'
_symmetry_Int_Tables_number 123
_symmetry_space_group_name_Hall '-P 4 2'
_cell_length_a 4.932
_cell_length_b 4.932
_cell_length_c 4.469
_cell_angle_alpha 90.00
_cell_angle_beta 90.00
_cell_angle_gamma 90.00
loop_
_atom_site_label
_atom_site_type_symbol
_atom_site_fract_x
_atom_site_fract_y
_atom_site_fract_z
Co1 Co 0.000 0.000 0.000
Re1 Re 0.500 0.500 0.500
S1 S 0.500 0.500 0.000
Cl1 Cl 0.000 0.500 0.500
# - Fermi-level density of states (states/eV/atom) = 1.900

---

(x)
# CoReSCl2, relaxed, DFT GGA-PBE
data_CoReSCl2
_symmetry_space_group_name_H-M 'P 4/m m m'
_symmetry_Int_Tables_number 123
_symmetry_space_group_name_Hall '-P 4 2'
_cell_length_a 4.483
_cell_length_b 4.483
_cell_length_c 4.750
_cell_angle_alpha 90.00
_cell_angle_beta 90.00
_cell_angle_gamma 90.00
loop_
_atom_site_label
_atom_site_type_symbol
_atom_site_fract_x
_atom_site_fract_y
_atom_site_fract_z
Co1 Co 0.000 0.000 0.000
Re1 Re 0.500 0.500 0.500
S1 S 0.000 0.000 0.500
Cl1 Cl 0.000 0.500 0.000
# - Fermi-level density of states (states/eV/atom) = 1.110

---

(w) (157 meV/atom below the next structure)

---

(w)
# CoReS2Cl, relaxed, DFT GGA-PBE
data_CoReS2Cl
_symmetry_space_group_name_H-M 'P 4/m m m'
_symmetry_Int_Tables_number 123
_symmetry_space_group_name_Hall '-P 4 2'
_cell_length_a 4.538
_cell_length_b 4.538
_cell_length_c 5.112
_cell_angle_alpha 90.00
_cell_angle_beta 90.00
_cell_angle_gamma 90.00
loop_
_atom_site_label
_atom_site_type_symbol
_atom_site_fract_x
_atom_site_fract_y
_atom_site_fract_z
Co1 Co 0.000 0.000 0.000
Re1 Re 0.500 0.500 0.500
S1 S 0.000 0.500 0.500
Cl1 Cl 0.500 0.500 0.000
# - Fermi-level density of states (states/eV/atom) = 1.453

---

(x)
# CoReS2Cl, relaxed, DFT GGA-PBE
data_CoReS2Cl
_symmetry_space_group_name_H-M 'P 4/m m m'
_symmetry_Int_Tables_number 123
_symmetry_space_group_name_Hall '-P 4 2'
_cell_length_a 4.493
_cell_length_b 4.493
_cell_length_c 4.362
_cell_angle_alpha 90.00
_cell_angle_beta 90.00
_cell_angle_gamma 90.00
loop_
_atom_site_label
_atom_site_type_symbol
_atom_site_fract_x
_atom_site_fract_y
_atom_site_fract_z
Co1 Co 0.000 0.000 0.000
Re1 Re 0.500 0.500 0.500
S1 S 0.000 0.500 0.000
Cl1 Cl 0.000 0.000 0.500
# - Fermi-level density of states (states/eV/atom) = 0.716

---

(w) (272 meV/atom below the next structure)

---

(w)
# Co3RhCl, relaxed, DFT GGA-PBE
data_Co3RhCl
_symmetry_space_group_name_H-M 'P m -3 m'
_symmetry_Int_Tables_number 221
_symmetry_space_group_name_Hall '-P 4 2 3'
_cell_length_a 4.637
_cell_length_b 4.637
_cell_length_c 4.637
_cell_angle_alpha 90.00
_cell_angle_beta 90.00
_cell_angle_gamma 90.00
loop_
_atom_site_label
_atom_site_type_symbol
_atom_site_fract_x
_atom_site_fract_y
_atom_site_fract_z
Co1 Co 0.000 0.000 0.500
Rh1 Rh 0.000 0.000 0.000
Cl1 Cl 0.500 0.500 0.500
# - Fermi-level density of states (states/eV/atom) = 0.825

---

(x)
# Co3RhCl, relaxed, DFT GGA-PBE
data_Co3RhCl
_symmetry_space_group_name_H-M 'P m -3 m'
_symmetry_Int_Tables_number 221
_symmetry_space_group_name_Hall '-P 4 2 3'
_cell_length_a 4.085
_cell_length_b 4.085
_cell_length_c 4.085
_cell_angle_alpha 90.00
_cell_angle_beta 90.00
_cell_angle_gamma 90.00
loop_
_atom_site_label
_atom_site_type_symbol
_atom_site_fract_x
_atom_site_fract_y
_atom_site_fract_z
Co1 Co 0.000 0.000 0.500
Rh1 Rh 0.500 0.500 0.500
Cl1 Cl 0.000 0.000 0.000
# - Fermi-level density of states (states/eV/atom) = 1.106

---

(x) (445 meV/atom below the next structure)

---

(w)
# CoRhS2Cl, relaxed, DFT GGA-PBE
data_CoRhS2Cl
_symmetry_space_group_name_H-M 'P 4/m m m'
_symmetry_Int_Tables_number 123
_symmetry_space_group_name_Hall '-P 4 2'
_cell_length_a 4.595
_cell_length_b 4.595
_cell_length_c 4.713
_cell_angle_alpha 90.00
_cell_angle_beta 90.00
_cell_angle_gamma 90.00
loop_
_atom_site_label
_atom_site_type_symbol
_atom_site_fract_x
_atom_site_fract_y
_atom_site_fract_z
Co1 Co 0.000 0.000 0.000
Rh1 Rh 0.500 0.500 0.500
S1 S 0.000 0.500 0.500
Cl1 Cl 0.500 0.500 0.000
# - Fermi-level density of states (states/eV/atom) = 1.697

---

(x)
# CoRhS2Cl, relaxed, DFT GGA-PBE
data_CoRhS2Cl
_symmetry_space_group_name_H-M 'P 4/m m m'
_symmetry_Int_Tables_number 123
_symmetry_space_group_name_Hall '-P 4 2'
_cell_length_a 4.368
_cell_length_b 4.368
_cell_length_c 4.573
_cell_angle_alpha 90.00
_cell_angle_beta 90.00
_cell_angle_gamma 90.00
loop_
_atom_site_label
_atom_site_type_symbol
_atom_site_fract_x
_atom_site_fract_y
_atom_site_fract_z
Co1 Co 0.000 0.000 0.000
Rh1 Rh 0.500 0.500 0.500
S1 S 0.000 0.500 0.000
Cl1 Cl 0.000 0.000 0.500
# - Fermi-level density of states (states/eV/atom) = 1.291

---

(x) (79 meV/atom below the next structure)

---

(w)
# CoSCl2, relaxed, DFT GGA-PBE
data_CoSCl2
_symmetry_space_group_name_H-M 'F m -3 m'
_symmetry_Int_Tables_number 225
_symmetry_space_group_name_Hall '-F 4 2 3'
_cell_length_a 6.536
_cell_length_b 6.536
_cell_length_c 6.536
_cell_angle_alpha 90.00
_cell_angle_beta 90.00
_cell_angle_gamma 90.00
loop_
_atom_site_label
_atom_site_type_symbol
_atom_site_fract_x
_atom_site_fract_y
_atom_site_fract_z
Co1 Co 0.000 0.000 0.000
S1 S 0.000 0.000 0.500
Cl1 Cl 0.250 0.250 0.250
# - Fermi-level density of states (states/eV/atom) = 2.011

---

(x)
# CoSCl2, relaxed, DFT GGA-PBE
data_CoSCl2
_symmetry_space_group_name_H-M 'R -3 m'
_symmetry_Int_Tables_number 166
_symmetry_space_group_name_Hall '-R 3 2"'
_cell_length_a 2.8657
_cell_length_b 2.8657
_cell_length_c 36.4633
_cell_angle_alpha 90.00
_cell_angle_beta 90.00
_cell_angle_gamma 120.00
loop_
_atom_site_label
_atom_site_type_symbol
_atom_site_fract_x
_atom_site_fract_y
_atom_site_fract_z
Co1 Co 0.0000 0.0000 0.0000
S1 S 0.0000 0.0000 0.5000
Cl1 Cl 0.0000 0.0000 0.0566
# - Fermi-level density of states (states/eV/atom) = 1.540

---

(x) (325 meV/atom below the next structure)

---

(w)
# CoS2Cl, relaxed, DFT GGA-PBE
data_CoS2Cl
_symmetry_space_group_name_H-M 'R -3 m'
_symmetry_Int_Tables_number 166
_symmetry_space_group_name_Hall '-R 3 2"'
_cell_length_a 2.7023
_cell_length_b 2.7023
_cell_length_c 35.8056
_cell_angle_alpha 90.00
_cell_angle_beta 90.00
_cell_angle_gamma 120.00
loop_
_atom_site_label
_atom_site_type_symbol
_atom_site_fract_x
_atom_site_fract_y
_atom_site_fract_z
Co1 Co 0.0000 0.0000 0.0000
S1 S 0.0000 0.0000 0.0591
Cl1 Cl 0.0000 0.0000 0.5000
# - Fermi-level density of states (states/eV/atom) = 0.853

---

(x)
# CoS2Cl, relaxed, DFT GGA-PBE
data_CoS2Cl
_symmetry_space_group_name_H-M 'I -4 2 d'
_symmetry_Int_Tables_number 122
_symmetry_space_group_name_Hall 'I -4 2bw'
_cell_length_a 6.041
_cell_length_b 6.041
_cell_length_c 8.881
_cell_angle_alpha 90.00
_cell_angle_beta 90.00
_cell_angle_gamma 90.00
loop_
_atom_site_label
_atom_site_type_symbol
_atom_site_fract_x
_atom_site_fract_y
_atom_site_fract_z
Co1 Co 0.000 0.000 0.000
S1 S 0.151 0.250 0.125
Cl1 Cl 0.000 0.000 0.500
# - Fermi-level density of states (states/eV/atom) = 0.147

---

(x) (450 meV/atom below the next structure)

---

(w)
# ScCoSCl2, relaxed, DFT GGA-PBE
data_ScCoSCl2
_symmetry_space_group_name_H-M 'P 4/m m m'
_symmetry_Int_Tables_number 123
_symmetry_space_group_name_Hall '-P 4 2'
_cell_length_a 5.211
_cell_length_b 5.211
_cell_length_c 4.779
_cell_angle_alpha 90.00
_cell_angle_beta 90.00
_cell_angle_gamma 90.00
loop_
_atom_site_label
_atom_site_type_symbol
_atom_site_fract_x
_atom_site_fract_y
_atom_site_fract_z
Sc1 Sc 0.000 0.000 0.000
Co1 Co 0.500 0.500 0.000
S1 S 0.000 0.000 0.500
Cl1 Cl 0.000 0.500 0.500
# - Fermi-level density of states (states/eV/atom) = 2.278

---

(x)
# ScCoSCl2, relaxed, DFT GGA-PBE
data_ScCoSCl2
_symmetry_space_group_name_H-M 'P 4/m m m'
_symmetry_Int_Tables_number 123
_symmetry_space_group_name_Hall '-P 4 2'
_cell_length_a 4.907
_cell_length_b 4.907
_cell_length_c 5.030
_cell_angle_alpha 90.00
_cell_angle_beta 90.00
_cell_angle_gamma 90.00
loop_
_atom_site_label
_atom_site_type_symbol
_atom_site_fract_x
_atom_site_fract_y
_atom_site_fract_z
Sc1 Sc 0.000 0.000 0.000
Co1 Co 0.500 0.500 0.500
S1 S 0.000 0.000 0.500
Cl1 Cl 0.000 0.500 0.000
# - Fermi-level density of states (states/eV/atom) = 1.648

---

(x) (1042 meV/atom below the next structure)

---

(w)
# CoSeS2Cl, relaxed, DFT GGA-PBE
data_CoSeS2Cl
_symmetry_space_group_name_H-M 'P 4/m m m'
_symmetry_Int_Tables_number 123
_symmetry_space_group_name_Hall '-P 4 2'
_cell_length_a 4.461
_cell_length_b 4.461
_cell_length_c 4.473
_cell_angle_alpha 90.00
_cell_angle_beta 90.00
_cell_angle_gamma 90.00
loop_
_atom_site_label
_atom_site_type_symbol
_atom_site_fract_x
_atom_site_fract_y
_atom_site_fract_z
Co1 Co 0.000 0.000 0.000
Se1 Se 0.500 0.500 0.500
S1 S 0.000 0.500 0.000
Cl1 Cl 0.000 0.000 0.500
# - Fermi-level density of states (states/eV/atom) = 0.883

---

(x)
# CoSeS2Cl, relaxed, DFT GGA-PBE
data_CoSeS2Cl
_symmetry_space_group_name_H-M 'P 4/m m m'
_symmetry_Int_Tables_number 123
_symmetry_space_group_name_Hall '-P 4 2'
_cell_length_a 4.882
_cell_length_b 4.882
_cell_length_c 4.738
_cell_angle_alpha 90.00
_cell_angle_beta 90.00
_cell_angle_gamma 90.00
loop_
_atom_site_label
_atom_site_type_symbol
_atom_site_fract_x
_atom_site_fract_y
_atom_site_fract_z
Co1 Co 0.000 0.000 0.000
Se1 Se 0.500 0.500 0.500
S1 S 0.000 0.500 0.500
Cl1 Cl 0.500 0.500 0.000
# - Fermi-level density of states (states/eV/atom) = 0.681

---

(w) (505 meV/atom below the next structure)